Entry 1:
Computed, not measured: an optimized crystal structure of RbAlTe2Au at the PBE-GGA level of DFT.

Cell lengths 5.5900, 5.8840, 5.5900 Å; angles 90.00, 90.00, 90.00 degrees
Element x y z (fractional)
1 Te 0.5000 0.0000 0.0000
2 Te 0.0000 0.0000 0.5000
3 Rb 0.0000 0.5000 0.0000
4 Al 0.5000 0.5000 0.5000
5 Au 0.0000 0.0000 0.0000

## Properties
Space group: P4/mmm (123)
Calculated total energy, eV for the cell shown: -13.5
Formation energy from raw total energies, kJ/mol of atoms: 15.2
Size of the total moment, μB per atom: 0.000

Entry 2:
Computed, not measured: an optimized crystal structure of GdTmLuCd at the PBE-GGA level of DFT.

Cell lengths 5.3998, 5.3998, 5.3998 Å; angles 60.00, 60.00, 60.00 degrees
Element x y z (fractional)
1 Tm 0.2500 0.2500 0.2500
2 Gd 0.7500 0.7500 0.7500
3 Lu 0.0000 0.0000 0.0000
4 Cd 0.5000 0.5000 0.5000

## Properties
Space group: F-43m (216)
Calculated total energy, eV for the cell shown: -24.1
DFT formation energy, eV/atom: -0.0382
Size of the total moment, μB per atom: 1.917

Entry 3:
Computed, not measured: an optimized crystal structure of Li2GaBiS4 at the PBE-GGA level of DFT.

Cell lengths 6.3782, 6.9111, 8.5107 Å; angles 90.00, 90.00, 90.00 degrees
Element x y z (fractional)
1 Bi 0.4886 0.8280 0.0000
2 Bi 0.9886 0.1720 0.5000
3 S 0.3642 0.1955 0.0000
4 S 0.9109 0.8544 0.0000
5 S 0.8642 0.8045 0.5000
6 S 0.4109 0.1456 0.5000
7 S 0.3739 0.6624 0.2844
8 S 0.8739 0.3376 0.2156
9 S 0.3739 0.6624 0.7156
10 S 0.8739 0.3376 0.7844
11 Ga 0.0001 0.1790 0.0000
12 Ga 0.5001 0.8210 0.5000
13 Li 0.9941 0.6739 0.7524
14 Li 0.4941 0.3261 0.2524
15 Li 0.4941 0.3261 0.7476
16 Li 0.9941 0.6739 0.2476

## Properties
Space group: Pmn2_1 (31)
Calculated total energy, eV for the cell shown: -67.8
Formation energy from raw total energies, kJ/mol of atoms: -80.4
Size of the total moment, μB per atom: 0.000

Entry 4:
Computed, not measured: an optimized crystal structure of KTl2Ag at the PBE-GGA level of DFT.

Cell lengths 3.6917, 3.6917, 8.5292 Å; angles 90.00, 90.00, 90.01 degrees
Element x y z (fractional)
1 Ag 0.5000 0.5000 0.2500
2 K 0.5000 0.5000 0.7500
3 Tl 0.0000 0.0000 0.4470
4 Tl 0.0000 0.0000 0.0530

## Properties
Space group: P4/mmm (123)
Calculated total energy, eV for the cell shown: -8.8
DFT formation energy, eV/atom: -0.0213
Size of the total moment, μB per atom: 0.000